Entry 1:
6
Lattice="-1.890 -0.068 4.855 -5.136 0.348 0.801 -2.658 -4.145 1.703" Properties=species:S:1:pos:R:3 comment="BeMoW4 (GGA-PBE, relaxed)" e_tot_ev_per_atom=-10.49 spacegroup="F-43m, No. 216" pbc="T T T"
W -6.047 -2.413 4.595
W -5.106 -2.379 2.179
Be -2.421 -0.966 1.840
W -4.724 -0.350 3.747
Mo 0.000 0.000 0.000
W -3.491 -2.586 4.196

---

Entry 2:
4
Lattice="-2.136 1.047 -2.158 0.170 -2.817 -1.534 -5.645 -2.678 4.288" Properties=species:S:1:pos:R:3 comment="SrZnCr2 (GGA-PBE, relaxed)" e_tot_ev_per_atom=-5.17 spacegroup="P4mm, No. 99" pbc="T T T"
Cr -1.902 -1.321 -1.148
Zn -5.583 -3.068 1.648
Sr -2.809 -1.333 2.134
Cr -0.138 -0.066 0.105

---

Entry 3:
4
Lattice="4.913 0.000 0.000 2.456 4.254 0.000 2.456 1.418 4.011" Properties=species:S:1:pos:R:3 comment="LiYTmTc (GGA-PBE, relaxed)" e_tot_ev_per_atom=-5.84 spacegroup="F-43m, No. 216" pbc="T T T"
Y 4.913 2.836 2.006
Tc 7.369 4.254 3.008
Li 2.456 1.418 1.003
Tm 0.000 0.000 0.000